Entry 1:
Material: Tb6C2N3O
Method: DFT, GGA-PBE
State: relaxed

abc: 3.507 7.085 7.924
angles: 102.93 102.79 90.00
Sites, in units of the cell vectors:
Tb (0.333, 0.920, 0.666)
Tb (0.666, 0.587, 0.333)
Tb (0.667, 0.080, 0.334)
Tb (0.000, 0.257, 0.000)
Tb (0.000, 0.743, 0.000)
Tb (0.334, 0.413, 0.667)
C (0.836, 0.672, 0.673)
C (0.164, 0.328, 0.327)
N (0.500, 0.500, 0.000)
N (0.836, 0.165, 0.672)
N (0.164, 0.835, 0.328)
O (0.500, 0.000, 0.000)

Computed properties:
* SG: C2/m (12)

=====

Entry 2:
Material: Tb6C2NO3
Method: DFT, GGA-PBE
State: relaxed

abc: 3.524 7.019 7.852
angles: 102.69 102.97 90.00
Sites, in units of the cell vectors:
Tb (0.335, 0.912, 0.670)
Tb (0.668, 0.579, 0.336)
Tb (0.665, 0.088, 0.330)
Tb (0.002, 0.245, 0.005)
Tb (0.998, 0.755, 0.995)
Tb (0.332, 0.421, 0.664)
C (0.835, 0.671, 0.671)
C (0.165, 0.329, 0.329)
N (0.500, 0.000, 0.000)
O (0.500, 0.500, 0.000)
O (0.834, 0.166, 0.668)
O (0.166, 0.834, 0.332)

Computed properties:
* SG: C2/m (12)

=====

Entry 3:
Material: Tb4CNO2
Method: DFT, GGA-PBE
State: relaxed

abc: 4.955 4.955 6.041
angles: 114.21 114.21 90.00
Sites, in units of the cell vectors:
Tb (0.937, 0.437, 0.000)
Tb (0.437, 0.937, 0.000)
Tb (0.189, 0.189, 0.503)
Tb (0.686, 0.686, 0.497)
C (0.937, 0.937, 0.000)
N (0.437, 0.437, 0.000)
O (0.187, 0.687, 0.500)
O (0.687, 0.187, 0.500)

Computed properties:
* SG: I4/mmm (139)

=====

Entry 4:
Material: Tb8C3N3O
Method: DFT, GGA-PBE
State: relaxed

abc: 7.096 7.096 7.102
angles: 119.97 90.00 120.00
Sites, in units of the cell vectors:
Tb (0.248, 0.496, 0.244)
Tb (0.752, 0.504, 0.756)
Tb (0.754, 0.508, 0.252)
Tb (0.246, 0.492, 0.748)
Tb (0.754, 0.999, 0.252)
Tb (0.246, 0.001, 0.748)
Tb (0.245, 0.999, 0.252)
Tb (0.755, 0.001, 0.748)
C (0.500, 0.000, 0.500)
C (0.500, 0.500, 0.500)
C (0.000, 0.500, 0.500)
N (0.000, 0.000, 0.000)
N (0.000, 0.500, 0.000)
N (0.500, 0.500, 0.000)
O (0.000, 0.000, 0.500)

Computed properties:
* SG: R-3m (166)

=====

Entry 5:
Material: Th8C3N4O
Method: DFT, GGA-PBE
State: relaxed

abc: 7.420 7.409 7.421
angles: 120.05 120.00 90.00
Sites, in units of the cell vectors:
Th (0.252, 0.753, 0.001)
Th (0.252, 0.753, 0.505)
Th (0.249, 0.247, 0.498)
Th (0.748, 0.753, 0.001)
Th (0.252, 0.247, 0.999)
Th (0.751, 0.753, 0.502)
Th (0.748, 0.247, 0.495)
Th (0.748, 0.247, 0.999)
C (0.500, 0.500, 0.000)
C (0.500, 0.500, 0.500)
C (0.000, 0.500, 0.500)
N (0.500, 0.000, 0.000)
N (0.500, 0.000, 0.500)
N (0.000, 0.000, 0.000)
N (0.000, 0.000, 0.500)
O (0.000, 0.500, 0.000)

Computed properties:
* SG: R-3m (166)

=====

Entry 6:
Material: ThCN2O
Method: DFT, GGA-PBE
State: relaxed

abc: 4.006 6.689 6.149
angles: 94.39 90.00 90.00
Sites, in units of the cell vectors:
Th (0.250, 0.873, 0.764)
Th (0.750, 0.127, 0.236)
C (0.250, 0.349, 0.635)
C (0.750, 0.651, 0.365)
N (0.750, 0.825, 0.462)
N (0.250, 0.175, 0.538)
N (0.750, 0.485, 0.274)
N (0.250, 0.515, 0.726)
O (0.250, 0.118, 0.063)
O (0.750, 0.882, 0.937)

Computed properties:
* SG: P2_1/m (11)

=====

Entry 7:
Material: Ti8C3N3O
Method: DFT, GGA-PBE
State: relaxed

abc: 6.063 6.063 6.050
angles: 120.07 90.00 120.00
Sites, in units of the cell vectors:
Ti (0.251, 0.503, 0.254)
Ti (0.749, 0.497, 0.746)
Ti (0.753, 0.507, 0.254)
Ti (0.247, 0.493, 0.746)
Ti (0.753, 0.000, 0.254)
Ti (0.247, 0.000, 0.746)
Ti (0.247, 0.000, 0.254)
Ti (0.753, 0.000, 0.746)
C (0.500, 0.000, 0.500)
C (0.500, 0.500, 0.500)
C (0.000, 0.500, 0.500)
N (0.000, 0.000, 0.000)
N (0.000, 0.500, 0.000)
N (0.500, 0.500, 0.000)
O (0.000, 0.000, 0.500)

Computed properties:
* SG: R-3m (166)

=====

Entry 8:
Material: Ti6C2NO3
Method: DFT, GGA-PBE
State: relaxed

abc: 5.254 5.254 5.340
angles: 99.46 99.46 119.99
Sites, in units of the cell vectors:
Ti (0.925, 0.589, 0.774)
Ti (0.740, 0.740, 0.225)
Ti (0.075, 0.411, 0.226)
Ti (0.589, 0.925, 0.774)
Ti (0.260, 0.260, 0.775)
Ti (0.411, 0.075, 0.226)
C (0.333, 0.667, 0.000)
C (0.667, 0.333, 0.000)
N (0.000, 0.000, 0.000)
O (0.167, 0.833, 0.500)
O (0.833, 0.167, 0.500)
O (0.500, 0.500, 0.500)

Computed properties:
* SG: C2/m (12)

=====

Summary of formation energy (no corrections) in kJ/mol of formula units
-1587, -2244, -1557, -1596, -1943, -755, -2011, -2185
(order as listed above)